A plane-wave DFT calculation with PBE was carried out for a relaxed structure of Be3Zn.

Values from the calculation:
E = -3.010 eV/atom
Space group = Pmmn (59)
Total magnetization = 0.00 μB/cell

a b c (Å): 3.744 4.815 4.253
angles (deg): 90.00 90.00 90.00
Element x y z (fractional)
Be  0.250  0.005  0.153
Be  0.250  0.495  0.153
Be  0.250  0.750  0.698
Be  0.750  0.250  0.302
Be  0.750  0.505  0.847
Be  0.750  0.995  0.847
Zn  0.250  0.250  0.651
Zn  0.750  0.750  0.349

---

A plane-wave DFT calculation with PBE was carried out for a relaxed structure of Ce2As3Pd2.

Values from the calculation:
Distance to the lowest polymorph of the same formula = 112 meV/atom
Space group = C2/m (12)
Total magnetization = 0.14 μB/cell

a b c (Å): 7.460 7.460 5.689
angles (deg): 106.20 106.20 34.32
Element x y z (fractional)
Ce  0.138  0.138  0.226
Ce  0.862  0.862  0.774
As  0.216  0.216  0.750
As  0.500  0.500  0.000
As  0.784  0.784  0.250
Pd  0.352  0.352  0.176
Pd  0.648  0.648  0.824